# ZrPaAu2, relaxed, DFT PBE
data_ZrPaAu2
_chemical_formula_sum 'Zr1 Pa1 Au2'
_cell_length_a 5.196
_cell_length_b 5.196
_cell_length_c 3.236
_cell_angle_alpha 90.00
_cell_angle_beta 90.00
_cell_angle_gamma 90.00
_space_group_name_H-M_alt 'P 4/m m m'
_space_group_IT_number 123
_space_group_name_Hall '-P 4 2'
loop_
_atom_site_label
_atom_site_type_symbol
_atom_site_fract_x
_atom_site_fract_y
_atom_site_fract_z
Zr1 Zr 0.000 0.000 0.000
Pa1 Pa 0.500 0.500 0.000
Au1 Au 0.000 0.500 0.500
# - theoretical density (g/cm3) = 13.6
# - Fermi-level density of states (states/eV per cell) = 7.50
# - energy of formation (meV per atom) = -288
# - VASP energy (Ry/atom) = -0.473
# - ΔE to the lowest computed polymorph (meV/atom) = 91